Compound: Mn2OsF
Source: Alexandria via LeMat-Bulk
Functional: GGA+U
Structure: optimized geometry

Values from the calculation:
distance to the lowest polymorph of the same formula	0.00	eV per formula unit
DOS(E_F)	0.74	states/eV per atom
SG	I-42d, No. 122
magnetization	8.1	μB/f.u.
VASP energy	-6.9295	eV/atom

a b c (Å): 6.312 6.312 5.491
angles (deg): 54.92 54.92 90.00
Fractional positions:
Os 0.750 0.250 0.500
Os 0.000 0.000 0.000
F 0.250 0.750 0.500
F 0.500 0.500 0.000
Mn 0.375 0.435 0.750
Mn 0.875 0.815 0.750
Mn 0.185 0.625 0.250
Mn 0.565 0.125 0.250